A plane-wave DFT calculation with GGA+U was carried out for a relaxed structure of GeMoO6.

The calculation puts the total magnetization at 7.3 μB/cell. For the raw total energy, the calculation gives -6.207 eV per atom. The value obtained for the density of states at the Fermi level is 5.7 states/eV/f.u.

The structure belongs to space group Fm-3m (No. 225); the cell edges are 7.563, 7.563 and 7.563 Å and the angles 90.00°, 90.00° and 90.00°. The distinct sites, in fractional coordinates, are Ge at (0.000, 0.000, 0.000), Mo at (0.000, 0.000, 0.500) and O at (0.000, 0.000, 0.247).